Entry 1:
First-principles (GGA-PBEsol) data for a relaxed structure of MgAlCr3FeO8, as listed in the Alexandria database.

a = 5.8237 Å, b = 5.8237 Å, c = 5.8237 Å
α = 60.61°, β = 60.61°, γ = 60.61°
Atoms (fractional coordinates):
Mg: 0.0000 0.0000 0.0000
Al: 0.6250 0.6250 0.6250
Cr: 0.1223 0.6242 0.6242
Cr: 0.6242 0.1223 0.6242
Cr: 0.6242 0.6242 0.1223
Fe: 0.2470 0.2470 0.2470
O: 0.3850 0.3850 0.3850
O: 0.3917 0.3917 0.8363
O: 0.3917 0.8363 0.3917
O: 0.4118 0.8559 0.8559
O: 0.8363 0.3917 0.3917
O: 0.8559 0.4118 0.8559
O: 0.8559 0.8559 0.4118
O: 0.8616 0.8616 0.8616

## Properties
ρ in Mg/m³: 4.59
VASP energy in eV per atom: -8.346
Total magnetic moment in μB per atom: 0.93



Entry 2:
First-principles (GGA-PBEsol) data for a relaxed structure of AlRe2Ir, as listed in the Alexandria database.

a = 4.3200 Å, b = 4.3200 Å, c = 4.3200 Å
α = 60.00°, β = 60.00°, γ = 60.00°
Atoms (fractional coordinates):
Al: 0.0000 0.0000 0.0000
Re: 0.2500 0.2500 0.2500
Re: 0.5000 0.5000 0.5000
Ir: 0.7500 0.7500 0.7500

## Properties
ρ in Mg/m³: 17.23
VASP energy in eV per atom: -10.175
Total magnetic moment in μB per atom: 0.00



Entry 3:
First-principles (GGA-PBEsol) data for a relaxed structure of Rb2Al2Si3O10, as listed in the Alexandria database.

a = 10.0387 Å, b = 9.3157 Å, c = 12.8919 Å
α = 50.68°, β = 45.88°, γ = 83.44°
Atoms (fractional coordinates):
Rb: 0.2765 0.7235 0.3435
Rb: 0.5935 0.9065 0.5265
Rb: 0.7235 0.2765 0.6565
Rb: 0.9065 0.5935 0.9735
Al: 0.1610 0.8987 0.0252
Al: 0.2248 0.3349 0.0890
Al: 0.3349 0.2248 0.3513
Al: 0.8987 0.1610 0.9151
Si: 0.2021 0.3424 0.8604
Si: 0.3424 0.2021 0.5951
Si: 0.3896 0.6549 0.0479
Si: 0.6475 0.6475 0.3525
Si: 0.6549 0.3896 0.9076
Si: 0.8975 0.8975 0.6025
O: 0.0953 0.9677 0.5478
O: 0.1515 0.2516 0.6722
O: 0.1729 0.4093 0.9622
O: 0.2516 0.1515 0.9248
O: 0.2661 0.9737 0.8059
O: 0.2878 0.7945 0.0771
O: 0.2957 0.4441 0.2763
O: 0.3252 0.5778 0.9984
O: 0.4093 0.1729 0.4555
O: 0.4326 0.5801 0.5763
O: 0.4441 0.2957 0.9839
O: 0.5778 0.3252 0.0985
O: 0.5801 0.4326 0.4111
O: 0.6737 0.8389 0.8174
O: 0.7022 0.8608 0.1547
O: 0.7945 0.2878 0.8407
O: 0.8389 0.6737 0.6699
O: 0.8608 0.7022 0.2823
O: 0.9677 0.0953 0.3892
O: 0.9737 0.2661 0.9543

## Properties
ρ in Mg/m³: 2.88
VASP energy in eV per atom: -7.502
Total magnetic moment in μB per atom: 0.00



- Among the records above, which one has the highest total magnetic moment?
  MgAlCr3FeO8



Repeat the third record exactly.
First-principles (GGA-PBEsol) data for a relaxed structure of Rb2Al2Si3O10, as listed in the Alexandria database.

a = 10.0387 Å, b = 9.3157 Å, c = 12.8919 Å
α = 50.68°, β = 45.88°, γ = 83.44°
Atoms (fractional coordinates):
Rb: 0.2765 0.7235 0.3435
Rb: 0.5935 0.9065 0.5265
Rb: 0.7235 0.2765 0.6565
Rb: 0.9065 0.5935 0.9735
Al: 0.1610 0.8987 0.0252
Al: 0.2248 0.3349 0.0890
Al: 0.3349 0.2248 0.3513
Al: 0.8987 0.1610 0.9151
Si: 0.2021 0.3424 0.8604
Si: 0.3424 0.2021 0.5951
Si: 0.3896 0.6549 0.0479
Si: 0.6475 0.6475 0.3525
Si: 0.6549 0.3896 0.9076
Si: 0.8975 0.8975 0.6025
O: 0.0953 0.9677 0.5478
O: 0.1515 0.2516 0.6722
O: 0.1729 0.4093 0.9622
O: 0.2516 0.1515 0.9248
O: 0.2661 0.9737 0.8059
O: 0.2878 0.7945 0.0771
O: 0.2957 0.4441 0.2763
O: 0.3252 0.5778 0.9984
O: 0.4093 0.1729 0.4555
O: 0.4326 0.5801 0.5763
O: 0.4441 0.2957 0.9839
O: 0.5778 0.3252 0.0985
O: 0.5801 0.4326 0.4111
O: 0.6737 0.8389 0.8174
O: 0.7022 0.8608 0.1547
O: 0.7945 0.2878 0.8407
O: 0.8389 0.6737 0.6699
O: 0.8608 0.7022 0.2823
O: 0.9677 0.0953 0.3892
O: 0.9737 0.2661 0.9543

## Properties
ρ in Mg/m³: 2.88
VASP energy in eV per atom: -7.502
Total magnetic moment in μB per atom: 0.00